Record 1
16
Lattice="7.3080 0.0000 0.0000 0.0000 7.3080 0.0000 0.0000 0.0000 5.8427" Properties=species:S:1:pos:R:3 comment="PBE SrCrOs2, relaxed" dft_energy_ev_per_atom=-7.444 magmom_total_mub_per_cell=0.000 pbc="T T T"
Sr 0.0000 0.0000 0.0000
Sr 0.0000 3.6540 1.4607
Sr 3.6540 0.0000 4.3821
Sr 3.6540 3.6540 2.9214
Cr 0.0000 0.0000 2.9214
Cr 0.0000 3.6540 4.3821
Cr 3.6540 0.0000 1.4607
Cr 3.6540 3.6540 0.0000
Os 1.2794 1.8270 3.6517
Os 1.8270 4.9334 5.1124
Os 1.8270 6.0286 2.1910
Os 2.3746 1.8270 0.7303
Os 4.9334 5.4810 0.7303
Os 5.4810 1.2794 2.1910
Os 5.4810 2.3746 5.1124
Os 6.0286 5.4810 3.6517

=====

Record 2
6
Lattice="0.0000 3.4020 3.4020 3.4020 0.0000 3.4020 3.4020 3.4020 0.0000" Properties=species:S:1:pos:R:3 comment="PBE TaCr4Os, relaxed" dft_energy_ev_per_atom=-10.284 magmom_total_mub_per_cell=0.000 pbc="T T T"
Ta 0.0000 0.0000 0.0000
Cr 4.2635 2.5406 2.5406
Cr 2.5406 4.2635 2.5406
Cr 2.5406 2.5406 4.2635
Cr 4.2635 4.2635 4.2635
Os 1.7010 1.7010 1.7010

=====

Record 3
8
Lattice="3.2324 0.0000 0.0000 0.0000 4.4462 0.0000 0.0000 0.0000 8.8489" Properties=species:S:1:pos:R:3 comment="PBE Ta4CrOs3, relaxed" dft_energy_ev_per_atom=-11.612 magmom_total_mub_per_cell=0.000 pbc="T T T"
Ta 0.0000 0.0000 0.0000
Ta 0.0000 0.0000 4.4245
Ta 0.0000 2.2231 2.1183
Ta 0.0000 2.2231 6.7306
Cr 1.6162 2.2231 0.0000
Os 1.6162 0.0000 2.2278
Os 1.6162 0.0000 6.6212
Os 1.6162 2.2231 4.4245